The following is a PBE+U calculation of crystalline FeReBO at its relaxed geometry, from the Alexandria database.

Excess energy over the best structure of this formula in the dataset: 100 meV/atom
E: -30.5 eV/cell
Total moment: 4.0 μB per formula unit

Lattice parameters (Å, degrees): 3.613 3.613 5.547 97.94 97.94 47.49
Positions (direct):
Fe1 0.000 0.000 0.000
Re1 0.596 0.596 0.620
B1 0.321 0.321 0.762
O1 0.048 0.048 0.352